Entry 1:
Ba4Cd2O | PBE | relaxed

Unit cell a=5.4808 b=5.4808 c=9.7571 alpha=73.69 beta=73.69 gamma=90.00
Closest atoms and distances in Å follow each position.
Positions (direct):
Ba 0.8327 0.8327 0.3345  1 O 3.00
Ba 0.1673 0.1673 0.6655  1 O 3.00
Ba 0.0000 0.5000 0.0000  2 O 2.74
Ba 0.5000 0.0000 0.0000  2 O 2.74
O 0.0000 0.0000 0.0000  6 Ba 2.74-3.00
Cd 0.6326 0.6326 0.7348  9 Ba 3.58-3.92
Cd 0.3674 0.3674 0.2652  9 Ba 3.58-3.92

Computed properties:
Uncorrected formation energy ... -0.812 eV per atom
Distance to the lowest polymorph of the same formula ... 38 meV per atom

***

Entry 2:
Ba4Cd2O | PBE | relaxed

Unit cell a=7.6920 b=8.1012 c=10.2255 alpha=90.00 beta=108.29 gamma=90.00
Closest atoms and distances in Å follow each position.
Positions (direct):
Ba 0.5022 0.5110 0.2708  1 O 2.53
Ba 0.1267 0.7500 0.9484  1 O 2.53
Ba 0.8733 0.2500 0.0516  1 O 2.53
Ba 0.5022 0.9890 0.2708  1 O 2.53
Ba 0.9302 0.2500 0.6494  1 O 2.51
Ba 0.4978 0.0110 0.7292  1 O 2.53
Ba 0.4978 0.4890 0.7292  1 O 2.53
Ba 0.0698 0.7500 0.3506  1 O 2.51
Cd 0.6825 0.7500 0.0298  6 Ba 3.63-3.76, 1 O 4.04
Cd 0.3175 0.2500 0.9702  6 Ba 3.63-3.76, 1 O 4.04
Cd 0.2162 0.2500 0.4153  6 Ba 3.68-3.82
Cd 0.7838 0.7500 0.5847  6 Ba 3.68-3.82
O 0.2799 0.7500 0.2059  4 Ba 2.51-2.53
O 0.7201 0.2500 0.7941  4 Ba 2.51-2.53

Computed properties:
Uncorrected formation energy ... -0.850 eV per atom
Distance to the lowest polymorph of the same formula ... 0 meV per atom

***

Q: The highest distance to the lowest polymorph of the same formula belongs to which entry?
A: number 1